Nd2GeO5: optimized geometry, GGA-PBE.

Cell lengths 9.583, 7.304, 7.055 Å; angles 90.00, 106.09, 90.00 degrees
Fractional coordinates of all 32 atoms:
Nd  0.026  0.127  0.232
Nd  0.026  0.373  0.732
Nd  0.372  0.137  0.058
Nd  0.372  0.363  0.558
Nd  0.628  0.637  0.442
Nd  0.628  0.863  0.942
Nd  0.974  0.627  0.268
Nd  0.974  0.873  0.768
Ge  0.301  0.590  0.028
Ge  0.301  0.910  0.528
Ge  0.699  0.090  0.472
Ge  0.699  0.410  0.972
O  0.110  0.633  0.990
O  0.110  0.867  0.490
O  0.112  0.118  0.941
O  0.112  0.382  0.441
O  0.288  0.082  0.339
O  0.288  0.418  0.839
O  0.387  0.053  0.729
O  0.387  0.447  0.229
O  0.393  0.710  0.507
O  0.393  0.790  0.007
O  0.607  0.210  0.993
O  0.607  0.290  0.493
O  0.613  0.553  0.771
O  0.613  0.947  0.271
O  0.712  0.582  0.161
O  0.712  0.918  0.661
O  0.888  0.618  0.559
O  0.888  0.882  0.059
O  0.890  0.133  0.510
O  0.890  0.367  0.010

As for the energy relative to the elements, uncorrected: -2183 kJ/mol of formula units. The calculation puts the relative energy among the computed polymorphs at 4.3 meV per atom. For the energy, the calculation gives -61.6 eV/f.u.